No. 1
Below is a geometry-optimized Ca2Cd4Pb3 structure, with properties calculated at the PBE level.

Cell: 4.7602 6.0051 9.9692 Å, 71.76 76.19 66.65°
Fractional coordinates of all 9 atoms:
Pb 0.3386 0.7602 0.5627
Cd 0.6760 0.5436 0.1045
Ca 0.6543 0.9113 0.7801
Cd 0.0140 0.6429 0.3292
Pb 0.6614 0.2398 0.4373
Cd 0.3240 0.4564 0.8955
Cd 0.9860 0.3571 0.6708
Ca 0.3457 0.0887 0.2199
Pb 0.0000 0.0000 0.0000

Total magnetization: 0.0 Bohr magnetons per cell
Calculated formation energy: -0.228 eV/atom

No. 2
Below is a geometry-optimized KCu2Tc structure, with properties calculated at the PBE level.

Cell: 2.6028 3.7535 7.8483 Å, 90.00 90.00 90.00°
Last column: magnetic moment on the atom in μB.
Fractional coordinates of all 4 atoms:
Cu 0.0000 0.0000 0.0085  0.07
K 0.0000 0.0000 0.4887  0.01
Cu 0.5000 0.5000 0.1636  0.04
Tc 0.5000 0.5000 0.8392  0.90

Total magnetization: 1.2 Bohr magnetons per cell
Calculated formation energy: 0.755 eV/atom
Distance to the lowest polymorph of the same formula: 188.8 meV/atom

No. 3
Below is a geometry-optimized Co structure, with properties calculated at the PBE level.

Cell: 2.4589 4.7894 7.6985 Å, 90.00 90.00 104.91°
Last column: magnetic moment on the atom in μB.
Fractional coordinates of all 8 atoms:
Co 0.8724 0.7458 0.4831  1.61
Co 0.5196 0.0390 0.2500  1.62
Co 0.1276 0.2542 0.9831  1.63
Co 0.1276 0.2542 0.5169  1.61
Co 0.8724 0.7458 0.0169  1.63
Co 0.7476 0.4938 0.7500  1.60
Co 0.4804 0.9610 0.7500  1.62
Co 0.2524 0.5062 0.2500  1.60

Total magnetization: 12.7 Bohr magnetons per cell
Calculated formation energy: 0.038 eV/atom
Distance to the lowest polymorph of the same formula: 38.5 meV/atom

No. 4
Below is a geometry-optimized Nd4SmTm2Sc structure, with properties calculated at the PBE level.

Cell: 5.0959 11.1703 5.0827 Å, 62.94 90.00 90.00°
Fractional coordinates of all 8 atoms:
Sc 0.0000 0.5000 0.5000
Nd 0.5000 0.7486 0.2509
Nd 0.0000 0.7482 0.7515
Nd 0.5000 0.2514 0.7491
Sm 0.5000 0.5000 0.0000
Tm 0.0000 0.0000 0.0000
Tm 0.5000 0.0000 0.5000
Nd 0.0000 0.2518 0.2485

Total magnetization: 0.0 Bohr magnetons per cell
Calculated formation energy: 0.029 eV/atom

No. 5
Below is a geometry-optimized NaMn2Ir2 structure, with properties calculated at the PBE level.

Cell: 7.4247 7.4247 2.6359 Å, 90.00 90.00 90.00°
Last column: magnetic moment on the atom in μB.
Fractional coordinates of all 10 atoms:
Na 0.5000 0.5000 0.0000  0.00
Mn 0.8858 0.6142 0.0000  0.74
Mn 0.1142 0.3858 0.0000  0.74
Ir 0.3286 0.1714 0.5000  -0.12
Ir 0.6714 0.8286 0.5000  -0.12
Ir 0.1714 0.6714 0.5000  -0.12
Mn 0.6142 0.1142 0.0000  0.79
Mn 0.3858 0.8858 0.0000  0.79
Ir 0.8286 0.3286 0.5000  -0.12
Na 0.0000 0.0000 0.0000  0.00

Total magnetization: 2.7 Bohr magnetons per cell
Calculated formation energy: 0.139 eV/atom
Distance to the lowest polymorph of the same formula: 41.1 meV/atom

No. 6
Below is a geometry-optimized Pr2S2Br structure, with properties calculated at the PBE level.

Cell: 4.0684 10.9869 8.1783 Å, 56.23 90.01 79.32°
Fractional coordinates of all 10 atoms:
Br 0.9933 0.0000 0.2499
S 0.6714 0.6571 0.7576
Pr 0.8361 0.3279 0.5035
S 0.3286 0.3429 0.2424
Pr 0.1639 0.6721 0.4965
Pr 0.1639 0.6720 0.9965
Pr 0.8361 0.3280 0.0035
S 0.6714 0.6571 0.2576
S 0.3286 0.3429 0.7424
Br 0.0067 0.0000 0.7501

Total magnetization: 0.0 Bohr magnetons per cell
Formation energy from raw total energies: -9.8 eV per formula unit
Distance to the lowest polymorph of the same formula: 0.0 meV/atom

No. 7
Below is a geometry-optimized Cs2HgPd structure, with properties calculated at the PBE level.

Cell: 4.9093 4.9093 10.0759 Å, 76.81 76.81 59.94°
Fractional coordinates of all 4 atoms:
Cs 0.0477 0.0477 0.8722
Cs 0.2025 0.2025 0.3780
Pd 0.7916 0.7916 0.6247
Hg 0.4582 0.4582 0.6252

Total magnetization: 0.0 Bohr magnetons per cell
Calculated formation energy: -0.163 eV/atom
Distance to the lowest polymorph of the same formula: 0.0 meV/atom

No. 8
Below is a geometry-optimized AcDy2Th structure, with properties calculated at the PBE level.

Cell: 3.6740 3.6740 23.6653 Å, 90.00 90.00 120.00°
Fractional coordinates of all 8 atoms:
Dy 0.6667 0.3333 0.6176
Ac 0.6667 0.3333 0.2500
Dy 0.3333 0.6667 0.3824
Th 0.0000 0.0000 0.0000
Dy 0.3333 0.6667 0.1176
Dy 0.6667 0.3333 0.8824
Ac 0.3333 0.6667 0.7500
Th 0.0000 0.0000 0.5000

Total magnetization: 0.0 Bohr magnetons per cell
Calculated formation energy: 0.065 eV/atom
Distance to the lowest polymorph of the same formula: 25.3 meV/atom

No. 9
Below is a geometry-optimized YPPbS2 structure, with properties calculated at the PBE level.

Cell: 5.2521 5.2521 5.2196 Å, 90.00 90.00 90.00°
Fractional coordinates of all 5 atoms:
S 0.0000 0.5000 0.0000
Y 0.5000 0.5000 0.5000
P 0.0000 0.0000 0.5000
Pb 0.0000 0.0000 0.0000
S 0.5000 0.0000 0.0000

Total magnetization: 0.0 Bohr magnetons per cell
Formation energy from raw total energies: 0.6 eV per formula unit
Distance to the lowest polymorph of the same formula: 424.1 meV/atom

No. 10
Below is a geometry-optimized BeCoSn3 structure, with properties calculated at the PBE level.

Cell: 4.8927 4.8927 4.8927 Å, 90.00 90.00 90.00°
Fractional coordinates of all 5 atoms:
Sn 0.0000 0.0000 0.5000
Sn 0.0000 0.5000 0.0000
Be 0.5000 0.5000 0.5000
Co 0.0000 0.0000 0.0000
Sn 0.5000 0.0000 0.0000

Total magnetization: 0.0 Bohr magnetons per cell
Calculated formation energy: 0.535 eV/atom
Distance to the lowest polymorph of the same formula: 0.0 meV/atom

No. 11
Below is a geometry-optimized Sr2Mg structure, with properties calculated at the PBE level.

Cell: 4.1730 4.1730 7.9230 Å, 105.27 105.27 90.00°
Fractional coordinates of all 3 atoms:
Sr 0.3574 0.3574 0.7149
Mg 0.0000 0.0000 0.0000
Sr 0.6426 0.6426 0.2851

Total magnetization: 0.0 Bohr magnetons per cell
Calculated formation energy: -0.040 eV/atom

No. 12
Below is a geometry-optimized Tl5In12Sn3 structure, with properties calculated at the PBE level.

Cell: 15.3124 15.3124 15.3124 Å, 109.47 109.47 109.47°
Fractional coordinates of all 80 atoms:
In 0.3626 0.9338 0.7678
Sn 0.7500 0.8750 0.6250
Sn 0.1250 0.2500 0.8750
Sn 0.6250 0.2500 0.3750
Tl 0.5000 0.5000 0.0000
Tl 0.5000 0.0000 0.0000
In 0.7678 0.3340 0.9053
Tl 0.3750 0.1250 0.7500
In 0.4338 0.6660 0.0712
Tl 0.7500 0.6250 0.3750
Sn 0.8750 0.1250 0.2500
Tl 0.3750 0.2500 0.1250
In 0.2678 0.8626 0.9338
In 0.3340 0.7678 0.4053
In 0.1374 0.7322 0.5662
Tl 0.2500 0.8750 0.1250
In 0.5947 0.7322 0.6660
In 0.6660 0.4338 0.5712
In 0.8626 0.2678 0.4338
Sn 0.3750 0.7500 0.6250
Tl 0.7500 0.1250 0.8750
Sn 0.6250 0.3750 0.7500
In 0.3626 0.4288 0.0947
In 0.4288 0.0662 0.3340
In 0.6660 0.2322 0.5947
Sn 0.2500 0.1250 0.3750
Tl 0.2500 0.3750 0.6250
In 0.7322 0.1374 0.0662
In 0.6374 0.5712 0.9053
In 0.5662 0.2322 0.1374
In 0.0947 0.9288 0.3626
Sn 0.1250 0.8750 0.7500
In 0.9288 0.8340 0.5662
In 0.8340 0.9288 0.0662
In 0.0947 0.1660 0.2322
Tl 0.1250 0.7500 0.3750
In 0.4288 0.3626 0.5947
In 0.6374 0.0662 0.2322
Tl 0.8750 0.6250 0.7500
Tl 0.5000 0.0000 0.5000
In 0.9053 0.0712 0.6374
In 0.5712 0.9338 0.6660
In 0.5947 0.8626 0.4288
In 0.4338 0.7678 0.8626
Tl 0.6250 0.8750 0.2500
Sn 0.8750 0.7500 0.1250
In 0.1660 0.0712 0.9338
In 0.1374 0.4053 0.0712
Tl 0.0000 0.0000 0.0000
Sn 0.7500 0.3750 0.1250
In 0.7322 0.5947 0.1660
Tl 0.6250 0.7500 0.8750
Tl 0.0000 0.5000 0.5000
In 0.9288 0.0947 0.8626
In 0.9338 0.5712 0.1660
In 0.4053 0.1374 0.5712
In 0.5662 0.3340 0.9288
In 0.5712 0.6374 0.4053
In 0.9053 0.8340 0.7678
Sn 0.2500 0.6250 0.8750
In 0.9338 0.3626 0.2678
In 0.0662 0.6374 0.7322
Tl 0.8750 0.2500 0.6250
In 0.0662 0.4288 0.8340
Tl 0.5000 0.5000 0.5000
In 0.1660 0.0947 0.7322
In 0.8340 0.9053 0.2678
Sn 0.3750 0.6250 0.2500
In 0.0712 0.9053 0.1374
In 0.2322 0.6660 0.0947
Tl 0.1250 0.3750 0.2500
In 0.2322 0.5662 0.6374
Tl 0.0000 0.5000 0.0000
In 0.7678 0.4338 0.3626
In 0.4053 0.2678 0.3340
In 0.3340 0.5662 0.4288
Tl 0.0000 0.0000 0.5000
In 0.8626 0.5947 0.9288
In 0.2678 0.4053 0.8340
In 0.0712 0.1660 0.4338

Total magnetization: 0.0 Bohr magnetons per cell
Calculated formation energy: 0.182 eV/atom

Uncorrected energy: -2.315; -4.159; -7.067; -4.854; -7.337; -5.860; -1.964; -5.118; -4.652; -4.033; -1.692; -2.653 (eV/atom)